A relaxed CuSbPdW crystal, computed with PBE.

Cell lengths 6.4207, 6.4207, 6.4207 Å; angles 90.00, 90.00, 90.00 degrees
Last column: nearest neighbours and their distance in Å.
Space group F-43m (No. 216)
Asymmetric unit:
Cu 0.0000 0.0000 0.0000  4 Sb 2.78, 4 Pd 2.78
Sb 0.2500 0.2500 0.7500  4 W 2.78, 4 Cu 2.78
Pd 0.2500 0.2500 0.2500  4 W 2.78, 4 Cu 2.78
W 0.0000 0.0000 0.5000  4 Sb 2.78, 4 Pd 2.78

Values from the calculation:
Excess energy over the best structure of this formula in the dataset = 0 meV per atom